Material: PmMgZrCd
Method: DFT, PBE-GGA
State: optimized geometry

Computed properties:
Size of the total moment = 0.00 μB per formula unit
N(E_F) = 1.490 states/eV/atom
Calculated total energy = -3.98 eV per atom

a = 5.201 Å, b = 5.201 Å, c = 5.201 Å
α = 60.00°, β = 60.00°, γ = 60.00°
Fractional positions:
Mg 0.750 0.750 0.750
Cd 0.250 0.250 0.250
Zr 0.000 0.000 0.000
Pm 0.500 0.500 0.500